The following is a GGA+U calculation of a geometry-optimized Sr3LaTi2Mn2O12 structure, from the Alexandria database.

a = 9.596 Å, b = 9.596 Å, c = 9.596 Å
α = 33.65°, β = 33.65°, γ = 33.65°
Fractional coordinates of all 20 atoms:
Sr 0.000 0.000 0.000
Sr 0.249 0.249 0.249
Sr 0.751 0.751 0.751
La 0.500 0.500 0.500
Ti 0.375 0.375 0.375
Ti 0.625 0.625 0.625
Mn 0.125 0.125 0.125
Mn 0.875 0.875 0.875
O 0.000 0.000 0.500
O 0.000 0.500 0.000
O 0.000 0.500 0.500
O 0.254 0.745 0.745
O 0.255 0.255 0.746
O 0.255 0.746 0.255
O 0.500 0.000 0.000
O 0.500 0.000 0.500
O 0.500 0.500 0.000
O 0.745 0.254 0.745
O 0.745 0.745 0.254
O 0.746 0.255 0.255

The uncorrected energy comes out at -7.729 eV per atom. For the calculated density, the calculation gives 5490 kg/m3. The size of the total moment comes out at 0.350 μB per atom.